(1)
A relaxed Rb2Cd3BiPb4 crystal. Source: the Alexandria database, functional PBE-GGA.

Structure (POSCAR):
```
Rb2Cd3BiPb4
1.0
5.272 0.000 0.000
0.000 5.272 0.000
0.000 0.000 12.745
Rb Cd Bi Pb
2 3 1 4
Direct
0.000 0.500 0.247
0.500 0.000 0.753
0.000 0.000 0.000
0.000 0.500 0.628
0.500 0.000 0.372
0.500 0.500 0.000
0.000 0.000 0.500
0.000 0.500 0.865
0.500 0.000 0.135
0.500 0.500 0.500
```

Summary:
Energy relative to the elements   -0.090 eV per atom
Calculated total energy   -24.3 eV/cell



(2)
A relaxed CdBiPbS2 crystal. Source: the Alexandria database, functional PBE-GGA.

Structure (POSCAR):
```
CdBiPbS2
1.0
5.276 0.000 0.000
0.000 5.276 0.000
0.000 0.000 6.126
Cd Bi Pb S
1 1 1 2
Direct
0.000 0.000 0.000
0.500 0.500 0.500
0.500 0.500 0.000
0.000 0.500 0.500
0.500 0.000 0.500
```

Summary:
Formation energy without anion corrections   0.425 eV per atom
Calculated total energy   -14.6 eV/cell



(3)
A relaxed CdBiPb2S crystal. Source: the Alexandria database, functional PBE-GGA.

Structure (POSCAR):
```
CdBiPb2S
1.0
5.887 0.000 0.000
0.000 5.887 0.000
0.000 0.000 4.721
Cd Bi Pb S
1 1 2 1
Direct
0.000 0.000 0.000
0.500 0.500 0.500
0.000 0.500 0.000
0.500 0.000 0.000
0.000 0.000 0.500
```

Summary:
Formation energy without anion corrections   0.397 eV per atom
Calculated total energy   -14.4 eV/cell



(4)
A relaxed CdBi2SbPb crystal. Source: the Alexandria database, functional PBE-GGA.

Structure (POSCAR):
```
CdBi2SbPb
1.0
5.907 0.000 0.000
0.000 5.907 0.000
0.000 0.000 5.475
Cd Bi Sb Pb
1 2 1 1
Direct
0.000 0.000 0.000
0.000 0.500 0.500
0.500 0.000 0.500
0.000 0.000 0.500
0.500 0.500 0.000
```

Summary:
Formation energy without anion corrections   0.489 eV per atom
Calculated total energy   -14.1 eV/cell



(5)
A relaxed CdBi2PbSe crystal. Source: the Alexandria database, functional PBE-GGA.

Structure (POSCAR):
```
CdBi2PbSe
1.0
5.613 0.000 0.000
0.000 5.613 0.000
0.000 0.000 5.723
Cd Bi Pb Se
1 2 1 1
Direct
0.000 0.000 0.000
0.000 0.500 0.000
0.500 0.000 0.000
0.000 0.000 0.500
0.500 0.500 0.500
```

Summary:
Formation energy without anion corrections   0.645 eV per atom
Calculated total energy   -12.6 eV/cell



(6)
A relaxed CdSnBiPb crystal. Source: the Alexandria database, functional PBE-GGA.

Structure (POSCAR):
```
CdSnBiPb
1.0
3.413 0.000 0.000
0.000 3.413 0.000
0.000 0.000 9.858
Cd Sn Bi Pb
1 1 1 1
Direct
0.000 0.000 0.000
0.500 0.500 0.224
0.500 0.500 0.756
0.000 0.000 0.478
```

Summary:
Energy relative to the elements   0.068 eV per atom
Calculated total energy   -12.2 eV/cell



(7)
A relaxed SrCdBi2Pb crystal. Source: the Alexandria database, functional PBE-GGA.

Structure (POSCAR):
```
SrCdBi2Pb
1.0
5.970 0.000 0.000
0.000 5.970 0.000
0.000 0.000 6.298
Sr Cd Bi Pb
1 1 2 1
Direct
0.000 0.000 0.000
0.500 0.500 0.000
0.000 0.500 0.500
0.500 0.000 0.500
0.000 0.000 0.500
```

Summary:
Energy relative to the elements   0.317 eV per atom
Calculated total energy   -12.5 eV/cell



(8)
A relaxed CdBiTePb2 crystal. Source: the Alexandria database, functional PBE-GGA.

Structure (POSCAR):
```
CdBiTePb2
1.0
5.742 0.000 0.000
0.000 5.742 0.000
0.000 0.000 5.568
Cd Bi Te Pb
1 1 1 2
Direct
0.000 0.000 0.000
0.000 0.000 0.500
0.500 0.500 0.500
0.000 0.500 0.000
0.500 0.000 0.000
```

Summary:
Formation energy without anion corrections   0.434 eV per atom
Calculated total energy   -13.2 eV/cell



(9)
A relaxed TiCdBiPb2 crystal. Source: the Alexandria database, functional PBE-GGA.

Structure (POSCAR):
```
TiCdBiPb2
1.0
5.530 0.000 0.000
0.000 5.530 0.000
0.000 0.000 5.629
Ti Cd Bi Pb
1 1 1 2
Direct
0.000 0.000 0.000
0.500 0.500 0.500
0.500 0.500 0.000
0.000 0.500 0.500
0.500 0.000 0.500
```

Summary:
Energy relative to the elements   0.995 eV per atom
Calculated total energy   -15.1 eV/cell



(10)
A relaxed Tl4CdBi2Pb2 crystal. Source: the Alexandria database, functional PBE-GGA.

Structure (POSCAR):
```
Tl4CdBi2Pb2
1.0
6.851 0.000 0.000
3.004 6.196 0.000
0.512 2.413 6.969
Tl Cd Bi Pb
4 1 2 2
Direct
0.142 0.206 0.252
0.207 0.712 0.132
0.793 0.288 0.868
0.858 0.794 0.748
0.500 0.000 0.000
0.355 0.789 0.666
0.645 0.211 0.334
0.273 0.371 0.621
0.727 0.629 0.379
```

Summary:
Energy relative to the elements   0.043 eV per atom
Calculated total energy   -25.2 eV/cell



(11)
A relaxed TlCdBi2Pb crystal. Source: the Alexandria database, functional PBE-GGA.

Structure (POSCAR):
```
TlCdBi2Pb
1.0
5.986 0.000 0.000
0.000 5.986 0.000
0.000 0.000 6.145
Tl Cd Bi Pb
1 1 2 1
Direct
0.000 0.000 0.000
0.500 0.500 0.000
0.000 0.500 0.500
0.500 0.000 0.500
0.000 0.000 0.500
```

Summary:
Energy relative to the elements   0.592 eV per atom
Calculated total energy   -11.8 eV/cell



(12)
A relaxed TlCd2BiPb4 crystal. Source: the Alexandria database, functional PBE-GGA.

Structure (POSCAR):
```
TlCd2BiPb4
1.0
4.895 0.000 0.000
0.000 4.895 0.000
0.000 0.000 10.831
Tl Cd Bi Pb
1 2 1 4
Direct
0.000 0.000 0.000
0.500 0.500 0.376
0.500 0.500 0.624
0.000 0.000 0.500
0.000 0.500 0.201
0.000 0.500 0.799
0.500 0.000 0.201
0.500 0.000 0.799
```

Summary:
Energy relative to the elements   0.190 eV per atom
Calculated total energy   -21.4 eV/cell



(13)
A relaxed TlCd2Bi2Pb2 crystal. Source: the Alexandria database, functional PBE-GGA.

Structure (POSCAR):
```
TlCd2Bi2Pb2
1.0
11.029 0.000 0.000
0.000 4.792 0.000
-1.190 0.000 7.923
Tl Cd Bi Pb
2 4 4 4
Direct
0.000 0.000 0.000
0.500 0.500 0.000
0.072 0.500 0.725
0.428 0.000 0.275
0.572 0.000 0.725
0.928 0.500 0.275
0.219 0.500 0.162
0.281 0.000 0.838
0.719 0.000 0.162
0.781 0.500 0.838
0.138 0.000 0.430
0.362 0.500 0.570
0.638 0.500 0.430
0.862 0.000 0.570
```

Summary:
Energy relative to the elements   0.047 eV per atom
Calculated total energy   -38.1 eV/cell



(14)
A relaxed Tl2Cd2Bi2Pb crystal. Source: the Alexandria database, functional PBE-GGA.

Structure (POSCAR):
```
Tl2Cd2Bi2Pb
1.0
2.515 1.452 10.155
-2.515 1.452 10.155
0.000 -2.904 10.155
Tl Cd Bi Pb
2 2 2 1
Direct
0.137 0.137 0.137
0.863 0.863 0.863
0.423 0.423 0.423
0.577 0.577 0.577
0.276 0.276 0.276
0.724 0.724 0.724
0.000 0.000 0.000
```

Summary:
Energy relative to the elements   0.032 eV per atom
Calculated total energy   -17.8 eV/cell



(15)
A relaxed Cd2BiPd3 crystal. Source: the Alexandria database, functional PBE-GGA.

Structure (POSCAR):
```
Cd2BiPd3
1.0
3.363 0.000 0.000
0.000 3.363 0.000
0.000 0.000 10.005
Cd Bi Pd
2 1 3
Direct
0.000 0.000 0.158
0.000 0.000 0.842
0.000 0.000 0.500
0.500 0.500 0.000
0.500 0.500 0.314
0.500 0.500 0.686
```

Summary:
Energy relative to the elements   -0.337 eV per atom
Calculated total energy   -23.3 eV/cell



(16)
A relaxed Cd5BiPd4 crystal. Source: the Alexandria database, functional PBE-GGA.

Structure (POSCAR):
```
Cd5BiPd4
1.0
3.255 0.000 0.000
0.000 3.255 0.000
0.000 0.000 18.506
Cd Bi Pd
5 1 4
Direct
0.000 0.000 0.000
0.000 0.000 0.178
0.000 0.000 0.358
0.000 0.000 0.642
0.000 0.000 0.822
0.500 0.500 0.500
0.500 0.500 0.089
0.500 0.500 0.268
0.500 0.500 0.732
0.500 0.500 0.911
```

Summary:
Energy relative to the elements   -0.302 eV per atom
Calculated total energy   -32.2 eV/cell



(17)
A relaxed Cd2BiPd2 crystal. Source: the Alexandria database, functional PBE-GGA.

Structure (POSCAR):
```
Cd2BiPd2
1.0
4.180 0.000 0.000
0.000 4.180 0.000
0.000 0.000 12.652
Cd Bi Pd
4 2 4
Direct
0.000 0.000 0.112
0.000 0.000 0.888
0.500 0.500 0.388
0.500 0.500 0.612
0.000 0.000 0.500
0.500 0.500 0.000
0.000 0.500 0.250
0.000 0.500 0.750
0.500 0.000 0.250
0.500 0.000 0.750
```

Summary:
Energy relative to the elements   0.005 eV per atom
Energy above the lowest structure with this stoichiometry   266.3 meV per atom
Calculated total energy   -32.1 eV/cell



(18)
A relaxed CdBiPd2 crystal. Source: the Alexandria database, functional PBE-GGA.

Structure (POSCAR):
```
CdBiPd2
1.0
3.443 0.000 0.000
0.000 4.588 0.000
-1.722 0.000 10.002
Cd Bi Pd
2 2 4
Direct
0.050 0.250 0.099
0.950 0.750 0.901
0.189 0.750 0.379
0.811 0.250 0.621
0.339 0.750 0.678
0.434 0.250 0.868
0.566 0.750 0.132
0.661 0.250 0.322
```

Summary:
Energy relative to the elements   -0.335 eV per atom
Calculated total energy   -33.0 eV/cell



(19)
A relaxed Cd2BiPd2 crystal. Source: the Alexandria database, functional PBE-GGA.

Structure (POSCAR):
```
Cd2BiPd2
1.0
7.871 0.000 0.000
0.000 7.871 0.000
0.000 0.000 3.283
Cd Bi Pd
4 2 4
Direct
0.152 0.348 0.000
0.348 0.848 0.000
0.652 0.152 0.000
0.848 0.652 0.000
0.000 0.000 0.500
0.500 0.500 0.500
0.141 0.641 0.500
0.359 0.141 0.500
0.641 0.859 0.500
0.859 0.359 0.500
```

Summary:
Energy relative to the elements   -0.262 eV per atom
Energy above the lowest structure with this stoichiometry   0.0 meV per atom
Calculated total energy   -34.8 eV/cell



(20)
A relaxed CdBi2Pd5 crystal. Source: the Alexandria database, functional PBE-GGA.

Structure (POSCAR):
```
CdBi2Pd5
1.0
4.937 0.000 0.000
0.000 4.937 0.000
0.000 0.000 12.378
Cd Bi Pd
2 4 10
Direct
0.000 0.000 0.000
0.500 0.500 0.500
0.000 0.000 0.265
0.000 0.000 0.735
0.500 0.500 0.235
0.500 0.500 0.765
0.000 0.000 0.500
0.000 0.500 0.118
0.000 0.500 0.382
0.000 0.500 0.618
0.000 0.500 0.882
0.500 0.000 0.118
0.500 0.000 0.382
0.500 0.000 0.618
0.500 0.000 0.882
0.500 0.500 0.000
```

Summary:
Energy relative to the elements   -0.251 eV per atom
Calculated total energy   -73.3 eV/cell



| no. | total magnetic moment (μB/atom) |
| --- | --- |
| 1 | 0.000 |
| 2 | 0.000 |
| 3 | 0.000 |
| 4 | 0.000 |
| 5 | 0.000 |
| 6 | 0.000 |
| 7 | 0.000 |
| 8 | 0.000 |
| 9 | 0.002 |
| 10 | 0.000 |
| 11 | 0.000 |
| 12 | 0.000 |
| 13 | 0.000 |
| 14 | 0.000 |
| 15 | 0.000 |
| 16 | 0.000 |
| 17 | 0.000 |
| 18 | 0.000 |
| 19 | 0.000 |
| 20 | 0.000 |